1.
LaTbCrN4 | PBE | optimized geometry

It has space group P2_1/m (No. 11), with a = 5.6118 Å, b = 5.5562 Å, c = 6.9383 Å, α = 90.00°, β = 108.10° and γ = 90.00°. The asymmetric unit holds La at (0.2204, 0.2500, 0.4325), Tb at (0.2946, 0.2500, 0.9624), Cr at (0.2588, 0.7500, 0.1891), N at (0.0600, 0.7500, 0.3399), N at (0.0844, 0.7500, 0.9384) and N at (0.4648, 0.5057, 0.2443).

The calculated total energy comes out at -8.64 eV/atom.


2.
LaTb2CrN4 | PBE | optimized geometry

It has space group Cmcm (No. 63), with a = 3.4473 Å, b = 11.7373 Å, c = 11.7168 Å, α = 90.00°, β = 90.00° and γ = 90.00°. The asymmetric unit holds La at (0.0000, 0.0925, 0.2500), Tb at (0.0000, 0.3690, 0.0435), Cr at (0.0000, 0.1699, 0.7500), N at (0.0000, 0.0000, 0.0000), N at (0.0000, 0.2642, 0.6272) and N at (0.0000, 0.4163, 0.2500).

The calculated total energy comes out at -8.39 eV/atom. The value obtained for the density of states at the Fermi level is 3.46 states/eV/f.u.


3.
LaTbCrN3 | PBE | optimized geometry

It has space group P2_1/m (No. 11), with a = 7.3272 Å, b = 3.4487 Å, c = 7.6884 Å, α = 90.00°, β = 100.03° and γ = 90.00°. The asymmetric unit holds La at (0.1921, 0.2500, 0.1902), Tb at (0.1719, 0.2500, 0.6360), Cr at (0.4014, 0.7500, 0.9192), N at (0.1503, 0.7500, 0.4081), N at (0.1539, 0.7500, 0.8665) and N at (0.4858, 0.2500, 0.8432).

The calculated total energy comes out at -8.47 eV/atom. The value obtained for the density of states at the Fermi level is 2.03 states/eV/f.u.


4.
La2TbCrN4 | PBE | optimized geometry

It has space group Cmcm (No. 63), with a = 3.4574 Å, b = 11.7797 Å, c = 12.5600 Å, α = 90.00°, β = 90.00° and γ = 90.00°. The asymmetric unit holds La at (0.0000, 0.1348, 0.0409), Tb at (0.0000, 0.3830, 0.2500), Cr at (0.0000, 0.3356, 0.7500), N at (0.0000, 0.0860, 0.2500), N at (0.0000, 0.2225, 0.6444) and N at (0.0000, 0.5000, 0.0000).

The calculated total energy comes out at -8.17 eV/atom. The value obtained for the density of states at the Fermi level is 3.02 states/eV/f.u.


5.
La2CrTcN5 | PBE | optimized geometry

It has space group Cmc2_1 (No. 36), with a = 3.3897 Å, b = 14.1741 Å, c = 9.9196 Å, α = 90.00°, β = 90.00° and γ = 90.00°. The asymmetric unit holds La at (0.0000, 0.1266, 0.0000), La at (0.0000, 0.1332, 0.6275), Cr at (0.0000, 0.4354, 0.7704), Tc at (0.0000, 0.2026, 0.3333), N at (0.0000, 0.0453, 0.3513), N at (0.0000, 0.3002, 0.9588), N at (0.0000, 0.3146, 0.6911), N at (0.0000, 0.3386, 0.3226) and N at (0.0000, 0.4941, 0.6221).

The calculated total energy comes out at -8.73 eV/atom. The value obtained for the density of states at the Fermi level is 5.88 states/eV/f.u.


6.
LaCrTe2N | PBE | optimized geometry

It has space group P4/mmm (No. 123), with a = 5.5308 Å, b = 5.5308 Å, c = 3.7346 Å, α = 90.00°, β = 90.00° and γ = 90.00°. The asymmetric unit holds La at (0.0000, 0.0000, 0.0000), Cr at (0.5000, 0.5000, 0.5000), Te at (0.0000, 0.5000, 0.5000) and N at (0.5000, 0.5000, 0.0000).

The distance to the lowest polymorph of the same formula comes out at 0.000 eV per atom. The calculated total energy comes out at -6.40 eV/atom. The value obtained for the density of states at the Fermi level is 1.50 states/eV/f.u.